(1)
{"formula": "Lu2InBi", "functional": "GGA-PBE", "state": "relaxed", "crystal_system": "tetragonal", "volume_a3_per_cell": 108, "formation_enthalpy_0k_ev_per_atom": -0.42, "e_tot_ev_per_atom": -4.3323, "cell": [[-2.7876, 2.6576, 0.9064], [-1.3106, -0.1020, -3.7319], [-4.3110, -5.0857, 1.6531]], "species": ["Lu", "Lu", "In", "Bi"], "fractional_positions": [[0.0000, 0.0000, 0.2502], [0.0000, 0.0000, 0.7498], [0.5000, 0.5000, 0.5000], [0.5000, 0.5000, 0.0000]]}

---

(2)
{"formula": "Lu2InBi", "functional": "GGA-PBE", "state": "relaxed", "crystal_system": "trigonal", "volume_a3_per_cell": 119, "formation_enthalpy_0k_ev_per_atom": -0.39, "e_tot_ev_per_atom": -4.3025, "cell": [[4.1174, 0.0000, 0.0000], [2.0587, 3.5658, 0.0000], [2.0587, 1.1886, 8.0820]], "species": ["Lu", "Lu", "In", "Bi"], "fractional_positions": [[0.7455, 0.7455, 0.7634], [0.2545, 0.2545, 0.2366], [0.5000, 0.5000, 0.5000], [0.0000, 0.0000, 0.0000]]}

---

(3)
{"formula": "Lu2InBi", "functional": "GGA-PBE", "state": "relaxed", "crystal_system": "cubic", "volume_a3_per_cell": 108, "formation_enthalpy_0k_ev_per_atom": -0.35, "e_tot_ev_per_atom": -4.2665, "cell": [[5.3489, 0.0000, 0.0000], [2.6745, 4.6323, 0.0000], [2.6745, 1.5441, 4.3674]], "species": ["Bi", "Lu", "Lu", "In"], "fractional_positions": [[0.0000, 0.0000, 0.0000], [0.7500, 0.7500, 0.7500], [0.2500, 0.2500, 0.2500], [0.5000, 0.5000, 0.5000]]}

---

(4)
{"formula": "LuIn2Bi", "functional": "GGA-PBE", "state": "relaxed", "crystal_system": "tetragonal", "volume_a3_per_cell": 107, "formation_enthalpy_0k_ev_per_atom": -0.27, "e_tot_ev_per_atom": -3.7400, "cell": [[4.7984, 0.0000, 0.0000], [0.0000, 4.7197, 0.0000], [0.0000, 0.0000, 4.7197]], "species": ["In", "In", "Bi", "Lu"], "fractional_positions": [[0.0000, 0.0000, 0.5000], [0.0000, 0.5000, 0.0000], [0.5000, 0.5000, 0.5000], [0.5000, 0.0000, 0.0000]]}

---

(5)
{"formula": "LuIn2Bi", "functional": "GGA-PBE", "state": "relaxed", "crystal_system": "trigonal", "volume_a3_per_cell": 123, "formation_enthalpy_0k_ev_per_atom": 0.15, "e_tot_ev_per_atom": -3.3212, "cell": [[-1.2454, 3.0265, -1.0971], [-2.1012, 0.1118, -2.7361], [-10.5391, -0.2274, 5.9071]], "species": ["In", "In", "Bi", "Lu"], "fractional_positions": [[0.0876, 0.0876, 0.7372], [0.9124, 0.9124, 0.2628], [0.5000, 0.5000, 0.5000], [0.0000, 0.0000, 0.0000]]}

---

(6)
{"formula": "LuMgInBi", "functional": "GGA-PBE", "state": "relaxed", "crystal_system": "cubic", "volume_a3_per_cell": 106, "formation_enthalpy_0k_ev_per_atom": -0.20, "e_tot_ev_per_atom": -3.3835, "cell": [[5.3048, 0.0000, 0.0000], [2.6524, 4.5941, 0.0000], [2.6524, 1.5314, 4.3313]], "species": ["Mg", "Bi", "In", "Lu"], "fractional_positions": [[0.5000, 0.5000, 0.5000], [0.2500, 0.2500, 0.2500], [0.7500, 0.7500, 0.7500], [0.0000, 0.0000, 0.0000]]}